# 1
VASP calculation (PBE) on CePr4Ho8 after structural relaxation.

Lattice parameters (Å, degrees): 11.0604 11.0604 13.4889 90.00 90.00 120.00
Closest atoms and distances in Å follow each position.
Space group R-3m (No. 166, hexagonal axes)
Inequivalent atoms, fractional coordinates:
Ce 0.0000 0.0000 0.0000 (multiplicity 3)  8 Ho 3.49-3.50, 6 Pr 3.90
Pr 0.0000 0.0000 0.5000 (multiplicity 3)  8 Ho 3.26-3.27
Pr 0.0000 0.5000 0.5000 (multiplicity 9)  8 Ho 3.42
Ho 0.0000 0.0000 0.2585 (multiplicity 6)  4 Pr 3.26-3.42, 1 Ce 3.49
Ho 0.0110 0.5055 0.2464 (multiplicity 18)  4 Pr 3.27-3.42, 1 Ce 3.50

Crystal system: trigonal
VASP energy (eV per atom): -4.216
Formation enthalpy at 0 K (eV/atom): 0.528
DOS at the Fermi energy (states/eV per cell): 67.3

***

# 2
VASP calculation (PBE) on CePr2Ho after structural relaxation.

Lattice parameters (Å, degrees): 3.5892 3.5892 10.3000 90.00 90.00 90.00
Closest atoms and distances in Å follow each position.
Space group P4/mmm (No. 123)
Inequivalent atoms, fractional coordinates:
Ce 0.0000 0.0000 0.0000 (multiplicity 1)  8 Pr 3.58, 4 Ce 3.59
Pr 0.5000 0.5000 0.2457 (multiplicity 2)  4 Ce 3.58, 4 Pr 3.59, 4 Ho 3.65
Ho 0.0000 0.0000 0.5000 (multiplicity 1)  4 Ho 3.59, 8 Pr 3.65

Crystal system: tetragonal
VASP energy (eV per atom): -4.946
Formation enthalpy at 0 K (eV/atom): 0.072
DOS at the Fermi energy (states/eV per cell): 8.4

***

# 3
VASP calculation (PBE) on CePr3Ho8 after structural relaxation.

Lattice parameters (Å, degrees): 8.7317 8.7317 11.3024 90.00 90.00 90.00
Closest atoms and distances in Å follow each position.
Space group I-42m (No. 121)
Inequivalent atoms, fractional coordinates:
Ce 0.0000 0.0000 0.0000 (multiplicity 2)  8 Ho 2.88-3.07
Pr 0.0000 0.0000 0.5000 (multiplicity 2)  8 Ho 3.33-3.36
Pr 0.0000 0.5000 0.2500 (multiplicity 4)  4 Ho 3.46
Ho 0.1243 0.1243 0.2352 (multiplicity 8)  1 Ce 3.07, 3 Ho 3.07-3.28, 1 Pr 3.36
Ho 0.2315 0.2315 0.9692 (multiplicity 8)  1 Ce 2.88, 1 Ho 3.19

Crystal system: tetragonal
VASP energy (eV per atom): -4.149
Formation enthalpy at 0 K (eV/atom): 0.593
DOS at the Fermi energy (states/eV per cell): 37.8

***

# 4
VASP calculation (PBE) on CePrHo4 after structural relaxation.

Lattice parameters (Å, degrees): 6.1794 3.5495 8.6906 90.00 90.06 90.00
Closest atoms and distances in Å follow each position.
Space group P2/m (No. 10)
Inequivalent atoms, fractional coordinates:
Ce 0.0000 0.0000 0.0000 (multiplicity 1)  6 Ho 3.54-3.57, 2 Ce 3.55, 4 Pr 3.56
Pr 0.5000 0.5000 0.0000 (multiplicity 1)  2 Pr 3.55, 6 Ho 3.56-3.59, 4 Ce 3.56
Ho 0.1638 0.5000 0.6671 (multiplicity 2)  9 Ho 3.52-3.60, 2 Ce 3.54, 1 Pr 3.56
Ho 0.3295 0.0000 0.3376 (multiplicity 2)  9 Ho 3.52-3.60, 1 Ce 3.57, 2 Pr 3.59

Crystal system: monoclinic
VASP energy (eV per atom): -4.784
Formation enthalpy at 0 K (eV/atom): 0.053
DOS at the Fermi energy (states/eV per cell): 11.5

***

# 5
VASP calculation (PBE) on CePr7Ho4 after structural relaxation.

Lattice parameters (Å, degrees): 19.0854 7.0917 6.0886 90.00 90.69 90.00
Closest atoms and distances in Å follow each position.
Space group C2/m (No. 12)
Inequivalent atoms, fractional coordinates:
Ce 0.0000 0.0000 0.0000 (multiplicity 2)  2 Pr 3.04
Pr 0.0000 0.0000 0.5000 (multiplicity 2)  2 Ce 3.04
Pr 0.0364 0.5000 0.7532 (multiplicity 4)  3 Pr 3.33-3.37, 2 Ho 3.68
Pr 0.1861 0.0000 0.7567 (multiplicity 4)  5 Pr 3.58-3.86, 6 Ho 3.64-3.79, 1 Ce 3.86
Pr 0.2120 0.5000 0.7345 (multiplicity 4)  5 Pr 3.35-3.64, 4 Ho 3.47-3.71
Ho 0.1357 0.2654 0.2420 (multiplicity 8)  1 Ho 3.33, 5 Pr 3.47-3.71, 1 Ce 3.51

Crystal system: monoclinic
VASP energy (eV per atom): -4.668
Formation enthalpy at 0 K (eV/atom): 0.140
DOS at the Fermi energy (states/eV per cell): 47.7

***

# 6
VASP calculation (PBE) on Ce2Pr8Ho after structural relaxation.

Lattice parameters (Å, degrees): 5.6812 8.4153 16.1877 90.00 90.00 90.00
Closest atoms and distances in Å follow each position.
Space group Immm (No. 71)
Inequivalent atoms, fractional coordinates:
Ce 0.0000 0.0000 0.2005 (multiplicity 4)  10 Pr 3.47-3.67
Pr 0.0000 0.2041 0.0000 (multiplicity 4)  7 Pr 3.43-3.63, 2 Ce 3.67, 2 Ho 3.78
Pr 0.0000 0.2938 0.3606 (multiplicity 8)  1 Ho 3.35, 4 Pr 3.47-3.72, 3 Ce 3.47-3.58
Pr 0.0000 0.5000 0.1569 (multiplicity 4)  8 Pr 3.56-3.78, 2 Ce 3.66, 2 Ho 3.81
Ho 0.0000 0.0000 0.5000 (multiplicity 2)  4 Pr 3.35

Crystal system: orthorhombic
VASP energy (eV per atom): -4.816
Formation enthalpy at 0 K (eV/atom): 0.155
DOS at the Fermi energy (states/eV per cell): 47.2

***

# 7
VASP calculation (PBE) on CePr3Ho6 after structural relaxation.

Lattice parameters (Å, degrees): 14.1420 3.5754 14.2822 90.00 114.11 90.00
Closest atoms and distances in Å follow each position.
Space group P2_1/m (No. 11)
Inequivalent atoms, fractional coordinates:
Ce 0.0900 0.2500 0.4890 (multiplicity 2)  4 Ce 3.23-3.58, 8 Ho 3.46-3.59
Pr 0.1139 0.7500 0.9582 (multiplicity 2)  6 Ho 3.52-3.75, 2 Pr 3.58
Pr 0.3653 0.2500 0.9211 (multiplicity 2)  6 Ho 3.55-3.92, 4 Pr 3.58-3.97
Pr 0.4619 0.2500 0.3782 (multiplicity 2)  8 Ho 3.49-3.55, 4 Pr 3.58-3.66
Ho 0.0370 0.7500 0.2656 (multiplicity 2)  7 Ho 3.28-3.58, 2 Ce 3.46, 2 Pr 3.52
Ho 0.1620 0.7500 0.7187 (multiplicity 2)  6 Ho 3.42-3.58, 3 Ce 3.50-3.59, 3 Pr 3.61-3.75
Ho 0.2068 0.2500 0.1951 (multiplicity 2)  8 Ho 3.46-3.64, 3 Pr 3.49-3.57
Ho 0.2773 0.7500 0.4365 (multiplicity 2)  7 Ho 3.28-3.64, 2 Ce 3.52, 3 Pr 3.53-3.55
Ho 0.3462 0.2500 0.6649 (multiplicity 2)  1 Ce 3.46, 7 Ho 3.49-3.59, 3 Pr 3.51-3.56
Ho 0.3918 0.7500 0.1452 (multiplicity 2)  5 Ho 3.47-3.59, 5 Pr 3.54-3.74

Crystal system: monoclinic
VASP energy (eV per atom): -4.677
Formation enthalpy at 0 K (eV/atom): 0.097
DOS at the Fermi energy (states/eV per cell): 31.8

***

# 8
VASP calculation (PBE) on CePr14Ho after structural relaxation.

Lattice parameters (Å, degrees): 10.4737 10.4317 10.4316 90.00 90.00 90.00
Closest atoms and distances in Å follow each position.
Space group Amm2 (No. 38)
Inequivalent atoms, fractional coordinates:
Ce 0.0000 0.0000 0.0000 (multiplicity 2)  12 Pr 3.66-3.69
Pr 0.0000 0.2505 0.2501 (multiplicity 4)  8 Pr 3.67, 2 Ce 3.68-3.69, 2 Ho 3.69
Pr 0.2457 0.0000 0.2490 (multiplicity 4)  1 Ce 3.66, 10 Pr 3.67-3.73, 1 Ho 3.67
Pr 0.2462 0.2493 0.9999 (multiplicity 8)  1 Ce 3.66, 10 Pr 3.67-3.73, 1 Ho 3.67
Pr 0.2467 0.0000 0.7506 (multiplicity 4)  1 Ce 3.67, 10 Pr 3.67-3.73, 1 Ho 3.68
Pr 0.5000 0.0000 0.9997 (multiplicity 2)  12 Pr 3.69-3.72
Pr 0.5000 0.0000 0.4997 (multiplicity 2)  12 Pr 3.68-3.73
Pr 0.5000 0.2495 0.2498 (multiplicity 4)  12 Pr 3.68-3.72
Ho 0.0000 0.0000 0.5000 (multiplicity 2)  12 Pr 3.67-3.69

Crystal system: orthorhombic
VASP energy (eV per atom): -4.809
Formation enthalpy at 0 K (eV/atom): 0.030
DOS at the Fermi energy (states/eV per cell): 60.0

***

# 9
VASP calculation (PBE) on CePr2Ho8 after structural relaxation.

Lattice parameters (Å, degrees): 18.1520 5.0413 7.9602 90.00 105.24 90.00
Closest atoms and distances in Å follow each position.
Space group C2/m (No. 12)
Inequivalent atoms, fractional coordinates:
Ce 0.0000 0.0000 0.0000 (multiplicity 2)  12 Ho 3.53-3.54
Pr 0.2282 0.5000 0.6376 (multiplicity 4)  2 Pr 3.56, 10 Ho 3.57-3.62
Ho 0.0439 0.5000 0.7304 (multiplicity 4)  9 Ho 3.50-3.60, 2 Ce 3.53, 1 Pr 3.61
Ho 0.0889 0.0000 0.4521 (multiplicity 4)  8 Ho 3.51-3.59, 1 Ce 3.54, 3 Pr 3.57-3.60
Ho 0.1343 0.5000 0.1760 (multiplicity 4)  7 Ho 3.50-3.61, 2 Ce 3.53, 3 Pr 3.58-3.62
Ho 0.1794 0.0000 0.9065 (multiplicity 4)  1 Ce 3.53, 8 Ho 3.54-3.62, 3 Pr 3.57-3.58

Crystal system: monoclinic
VASP energy (eV per atom): -4.695
Formation enthalpy at 0 K (eV/atom): 0.043
DOS at the Fermi energy (states/eV per cell): 36.7

***

# 10
VASP calculation (PBE) on CePr2Ho after structural relaxation.

Lattice parameters (Å, degrees): 3.4932 3.4932 37.8028 90.00 90.00 120.00
Closest atoms and distances in Å follow each position.
Space group R-3m (No. 166, hexagonal axes)
Inequivalent atoms, fractional coordinates:
Ce 0.0000 0.0000 0.0000 (multiplicity 3)  2 Pr 3.33, 6 Ce 3.49
Pr 0.0000 0.0000 0.0881 (multiplicity 6)  1 Ce 3.33, 6 Pr 3.49, 3 Ho 3.59
Ho 0.0000 0.0000 0.5000 (multiplicity 3)  6 Ho 3.49, 6 Pr 3.59

Crystal system: trigonal
VASP energy (eV per atom): -4.826
Formation enthalpy at 0 K (eV/atom): 0.192
DOS at the Fermi energy (states/eV per cell): 25.5

***

# 11
VASP calculation (PBE) on CePrHoPu after structural relaxation.

Lattice parameters (Å, degrees): 7.9171 7.9171 7.9171 90.00 90.00 90.00
Closest atoms and distances in Å follow each position.
Space group F-43m (No. 216)
Inequivalent atoms, fractional coordinates:
Ce 0.0000 0.0000 0.0000 (multiplicity 4)  4 Pu 3.43, 4 Ho 3.43
Pr 0.0000 0.0000 0.5000 (multiplicity 4)  4 Ho 3.43, 4 Pu 3.43
Ho 0.2500 0.2500 0.2500 (multiplicity 4)  4 Ce 3.43, 4 Pr 3.43
Pu 0.2500 0.2500 0.7500 (multiplicity 4)  4 Pr 3.43, 4 Ce 3.43

Crystal system: cubic
VASP energy (eV per atom): -7.199
Formation enthalpy at 0 K (eV/atom): 0.206
DOS at the Fermi energy (states/eV per cell): 38.5

***

# 12
VASP calculation (PBE) on Ce2Pr2HoRh5 after structural relaxation.

Lattice parameters (Å, degrees): 10.9874 10.9874 3.5997 90.00 90.00 90.00
Closest atoms and distances in Å follow each position.
Space group P4/mbm (No. 127)
Inequivalent atoms, fractional coordinates:
Ce 0.1419 0.3581 0.0000 (multiplicity 4)  6 Rh 2.71-2.85, 1 Pr 2.95
Pr 0.1681 0.6681 0.0000 (multiplicity 4)  1 Ce 2.95, 2 Rh 3.17
Ho 0.0000 0.0000 0.0000 (multiplicity 2)  8 Rh 2.87
Rh 0.0000 0.5000 0.5000 (multiplicity 2)  4 Ce 2.85, 4 Pr 3.17
Rh 0.0546 0.1959 0.5000 (multiplicity 8)  2 Ce 2.71, 2 Ho 2.87

Crystal system: tetragonal
VASP energy (eV per atom): -6.867
Formation enthalpy at 0 K (eV/atom): -0.591
DOS at the Fermi energy (states/eV per cell): 12.5